1.
# PmNdSeCl PBE-GGA relaxed
# raw formation energy: -1.4579 eV/atom
# DOS at the Fermi energy: 3.40 states/eV per cell
# SG: F-43m
data_PmNdSeCl
_chemical_formula_sum 'Pm1 Nd1 Se1 Cl1'
_cell_length_a 5.093
_cell_length_b 5.093
_cell_length_c 5.093
_cell_angle_alpha 60.00
_cell_angle_beta 60.00
_cell_angle_gamma 60.00
_symmetry_space_group_name_H-M 'P 1'
_symmetry_Int_Tables_number 1
loop_
_symmetry_equiv_pos_as_xyz
'x,y,z'
loop_
_atom_site_label
_atom_site_type_symbol
_atom_site_fract_x
_atom_site_fract_y
_atom_site_fract_z
Pm1 Pm 0.500 0.500 0.500
Se1 Se 0.750 0.750 0.750
Nd1 Nd 0.000 0.000 0.000
Cl1 Cl 0.250 0.250 0.250

=====

2.
# Ce3Th4PaP8 PBE-GGA relaxed
# DOS at the Fermi energy: 16.16 states/eV per cell
# formation energy: -1.51 eV/atom
# SG: R-3m
data_Ce3Th4PaP8
_chemical_formula_sum 'Ce3 Th4 Pa1 P8'
_cell_length_a 8.208
_cell_length_b 8.184
_cell_length_c 8.208
_cell_angle_alpha 120.10
_cell_angle_beta 120.00
_cell_angle_gamma 90.00
_symmetry_space_group_name_H-M 'P 1'
_symmetry_Int_Tables_number 1
loop_
_symmetry_equiv_pos_as_xyz
'x,y,z'
loop_
_atom_site_label
_atom_site_type_symbol
_atom_site_fract_x
_atom_site_fract_y
_atom_site_fract_z
Pa1 Pa 0.000 0.500 0.000
P1 P 0.752 0.742 0.997
P2 P 0.245 0.742 0.490
P3 P 0.755 0.258 0.003
P4 P 0.748 0.745 0.497
P5 P 0.755 0.258 0.510
P6 P 0.248 0.258 0.003
P7 P 0.245 0.742 0.997
P8 P 0.252 0.255 0.503
Ce1 Ce 0.500 0.500 0.000
Ce2 Ce 0.500 0.500 0.500
Ce3 Ce 0.000 0.500 0.500
Th1 Th 0.500 0.000 0.500
Th2 Th 0.000 0.000 0.000
Th3 Th 0.500 0.000 0.000
Th4 Th 0.000 0.000 0.500

=====

3.
# Ac3Cd6Sn5 PBE-GGA relaxed
# DOS at the Fermi energy: 8.75 states/eV per cell
# formation energy: -0.39 eV/atom
# SG: Pmmn
data_Ac3Cd6Sn5
_chemical_formula_sum 'Ac6 Cd12 Sn10'
_cell_length_a 4.799
_cell_length_b 11.465
_cell_length_c 14.292
_cell_angle_alpha 90.00
_cell_angle_beta 90.00
_cell_angle_gamma 90.00
_symmetry_space_group_name_H-M 'P 1'
_symmetry_Int_Tables_number 1
loop_
_symmetry_equiv_pos_as_xyz
'x,y,z'
loop_
_atom_site_label
_atom_site_type_symbol
_atom_site_fract_x
_atom_site_fract_y
_atom_site_fract_z
Cd1 Cd 0.000 0.027 0.500
Cd2 Cd 0.000 0.984 0.852
Cd3 Cd 0.500 0.973 0.000
Cd4 Cd 0.500 0.016 0.648
Cd5 Cd 0.500 0.383 0.839
Cd6 Cd 0.500 0.016 0.352
Cd7 Cd 0.500 0.383 0.161
Cd8 Cd 0.000 0.617 0.661
Cd9 Cd 0.000 0.984 0.148
Cd10 Cd 0.500 0.543 0.000
Cd11 Cd 0.000 0.457 0.500
Cd12 Cd 0.000 0.617 0.339
Ac1 Ac 0.000 0.250 0.323
Ac2 Ac 0.000 0.253 0.000
Ac3 Ac 0.500 0.750 0.177
Ac4 Ac 0.500 0.750 0.823
Ac5 Ac 0.000 0.250 0.677
Ac6 Ac 0.500 0.747 0.500
Sn1 Sn 0.000 0.866 0.336
Sn2 Sn 0.500 0.134 0.836
Sn3 Sn 0.000 0.525 0.141
Sn4 Sn 0.500 0.475 0.359
Sn5 Sn 0.500 0.213 0.500
Sn6 Sn 0.000 0.525 0.859
Sn7 Sn 0.000 0.866 0.664
Sn8 Sn 0.000 0.787 0.000
Sn9 Sn 0.500 0.134 0.164
Sn10 Sn 0.500 0.475 0.641

=====

4.
# AlCr3Se PBE-GGA relaxed
# excess energy over the best structure of this formula in the dataset: 0.000 eV per atom
# raw formation energy: 0.8804 eV/atom
# DOS at the Fermi energy: 7.78 states/eV per cell
# SG: Pm-3m
data_AlCr3Se
_chemical_formula_sum 'Al1 Cr3 Se1'
_cell_length_a 4.341
_cell_length_b 4.341
_cell_length_c 4.341
_cell_angle_alpha 90.00
_cell_angle_beta 90.00
_cell_angle_gamma 90.00
_symmetry_space_group_name_H-M 'P 1'
_symmetry_Int_Tables_number 1
loop_
_symmetry_equiv_pos_as_xyz
'x,y,z'
loop_
_atom_site_label
_atom_site_type_symbol
_atom_site_fract_x
_atom_site_fract_y
_atom_site_fract_z
Cr1 Cr 0.000 0.500 0.000
Cr2 Cr 0.000 0.000 0.500
Cr3 Cr 0.500 0.000 0.000
Al1 Al 0.500 0.500 0.500
Se1 Se 0.000 0.000 0.000

=====

5.
# KBeCo PBE-GGA relaxed
# excess energy over the best structure of this formula in the dataset: 0.978 eV per atom
# DOS at the Fermi energy: 4.21 states/eV per cell
# formation energy: 1.51 eV/atom
# SG: F-43m
data_KBeCo
_chemical_formula_sum 'K1 Be1 Co1'
_cell_length_a 4.375
_cell_length_b 4.375
_cell_length_c 4.375
_cell_angle_alpha 60.00
_cell_angle_beta 60.00
_cell_angle_gamma 60.00
_symmetry_space_group_name_H-M 'P 1'
_symmetry_Int_Tables_number 1
loop_
_symmetry_equiv_pos_as_xyz
'x,y,z'
loop_
_atom_site_label
_atom_site_type_symbol
_atom_site_fract_x
_atom_site_fract_y
_atom_site_fract_z
Co1 Co 0.250 0.250 0.250
Be1 Be 0.500 0.500 0.500
K1 K 0.000 0.000 0.000

=====

6.
# SmAs2PtRh5 PBE-GGA relaxed
# DOS at the Fermi energy: 9.74 states/eV per cell
# formation energy: -0.21 eV/atom
# SG: P4/mmm
data_SmAs2PtRh5
_chemical_formula_sum 'Sm1 As2 Pt1 Rh5'
_cell_length_a 4.698
_cell_length_b 4.698
_cell_length_c 7.124
_cell_angle_alpha 90.00
_cell_angle_beta 90.00
_cell_angle_gamma 90.00
_symmetry_space_group_name_H-M 'P 1'
_symmetry_Int_Tables_number 1
loop_
_symmetry_equiv_pos_as_xyz
'x,y,z'
loop_
_atom_site_label
_atom_site_type_symbol
_atom_site_fract_x
_atom_site_fract_y
_atom_site_fract_z
As1 As 0.500 0.500 0.831
As2 As 0.500 0.500 0.169
Pt1 Pt 0.000 0.000 0.000
Rh1 Rh 0.000 0.500 0.788
Rh2 Rh 0.500 0.000 0.788
Rh3 Rh 0.500 0.000 0.212
Rh4 Rh 0.500 0.500 0.500
Rh5 Rh 0.000 0.500 0.212
Sm1 Sm 0.000 0.000 0.500

=====

7.
# MgTcIr PBE-GGA relaxed
# excess energy over the best structure of this formula in the dataset: 0.316 eV per atom
# DOS at the Fermi energy: 7.48 states/eV per cell
# formation energy: 0.12 eV/atom
# SG: P4/nmm
data_MgTcIr
_chemical_formula_sum 'Mg2 Tc2 Ir2'
_cell_length_a 3.746
_cell_length_b 3.746
_cell_length_c 7.113
_cell_angle_alpha 90.00
_cell_angle_beta 90.00
_cell_angle_gamma 90.00
_symmetry_space_group_name_H-M 'P 1'
_symmetry_Int_Tables_number 1
loop_
_symmetry_equiv_pos_as_xyz
'x,y,z'
loop_
_atom_site_label
_atom_site_type_symbol
_atom_site_fract_x
_atom_site_fract_y
_atom_site_fract_z
Ir1 Ir 0.000 0.500 0.232
Ir2 Ir 0.500 0.000 0.768
Tc1 Tc 0.500 0.500 0.500
Tc2 Tc 0.000 0.000 0.500
Mg1 Mg 0.500 0.000 0.153
Mg2 Mg 0.000 0.500 0.847

=====

8.
# NaLaInTe3 PBE-GGA relaxed
# raw formation energy: -0.9042 eV/atom
# DOS at the Fermi energy: 6.03 states/eV per cell
# SG: P2_1/m
data_NaLaInTe3
_chemical_formula_sum 'Na2 La2 In2 Te6'
_cell_length_a 4.774
_cell_length_b 8.895
_cell_length_c 12.228
_cell_angle_alpha 112.13
_cell_angle_beta 90.00
_cell_angle_gamma 90.00
_symmetry_space_group_name_H-M 'P 1'
_symmetry_Int_Tables_number 1
loop_
_symmetry_equiv_pos_as_xyz
'x,y,z'
loop_
_atom_site_label
_atom_site_type_symbol
_atom_site_fract_x
_atom_site_fract_y
_atom_site_fract_z
Na1 Na 0.250 0.215 0.145
Na2 Na 0.750 0.785 0.855
In1 In 0.250 0.082 0.620
In2 In 0.750 0.918 0.380
Te1 Te 0.250 0.035 0.856
Te2 Te 0.750 0.248 0.569
Te3 Te 0.250 0.538 0.859
Te4 Te 0.750 0.462 0.141
Te5 Te 0.750 0.965 0.144
Te6 Te 0.250 0.752 0.431
La1 La 0.750 0.294 0.859
La2 La 0.250 0.706 0.141

=====

VASP energy for the records above, in order: -5.1703 -7.7792 -3.0954 -6.3390 -2.4625 -6.5212 -6.8202 -3.9725 eV/atom